Compound: TiOsBr3
Source: Alexandria
Functional: PBE
Structure: optimized geometry

Results
* magnetic moment: 4.53 μB per cell
* symmetry: Pm-3m
* E_form (uncorrected): 0.76 eV per atom
* density: 5.89 Mg/m³
* E above lowest polymorph: 0.000 eV/atom
* DOS at the Fermi energy: 7.6 states/eV per cell

Unit cell a=5.1249 b=5.1249 c=5.1249 alpha=90.00 beta=90.00 gamma=90.00
Fractional coordinates of all 5 atoms:
Ti 0.0000 0.0000 0.0000
Os 0.5000 0.5000 0.5000
Br 0.0000 0.0000 0.5000
Br 0.0000 0.5000 0.0000
Br 0.5000 0.0000 0.0000


Compound: Mg4Zn4Cd
Source: Alexandria
Functional: PBE
Structure: optimized geometry

Results
* magnetic moment: 0.00 μB per cell
* symmetry: P2/c
* energy of formation from the pure elements: 5 meV/atom
* density: 4.27 Mg/m³
* DOS at the Fermi energy: 7.2 states/eV per cell

Unit cell a=6.8769 b=5.6986 c=9.9987 alpha=90.00 beta=110.67 gamma=90.00
Fractional coordinates of all 18 atoms:
Mg 0.1181 0.1419 0.1449
Mg 0.1181 0.8581 0.6449
Mg 0.2512 0.3844 0.8832
Mg 0.2512 0.6156 0.3832
Mg 0.7488 0.3844 0.6168
Mg 0.7488 0.6156 0.1168
Mg 0.8819 0.1419 0.3551
Mg 0.8819 0.8581 0.8551
Zn 0.1504 0.3745 0.5892
Zn 0.1504 0.6255 0.0892
Zn 0.3316 0.1226 0.4454
Zn 0.3316 0.8774 0.9454
Zn 0.6684 0.1226 0.0546
Zn 0.6684 0.8774 0.5546
Zn 0.8496 0.3745 0.9108
Zn 0.8496 0.6255 0.4108
Cd 0.5000 0.1172 0.7500
Cd 0.5000 0.8828 0.2500